! HoSn4 | the Alexandria database | PBE | optimized geometry; values from VASP
&SYSTEM
  ibrav = 0, nat = 10, ntyp = 2
/
ATOMIC_SPECIES
Sn 118.71 Sn.upf
Ho 164.93 Ho.upf
CELL_PARAMETERS angstrom
-4.001 1.963 -1.049
2.515 2.190 -5.497
-1.888 -9.707 -0.971
ATOMIC_POSITIONS crystal
Sn 0.692 0.687 0.383
Sn 0.692 0.196 0.383
Sn 0.308 0.804 0.617
Sn 0.903 0.653 0.806
Sn 0.500 0.500 0.000
Sn 0.308 0.313 0.617
Sn 0.097 0.347 0.194
Sn 0.500 0.000 0.000
Ho 0.911 0.161 0.821
Ho 0.089 0.839 0.179
! DOS at the Fermi energy, states/eV/f.u.: 2.312
! Formation enthalpy at 0 K, eV/atom: -0.29
! Space group: No. 74
! Relative energy among the computed polymorphs, eV/f.u.: 0.00
! Total moment, μB/cell: 0.0

---

! Hf7Co3 | the Alexandria database | PBE | optimized geometry; values from VASP
&SYSTEM
  ibrav = 0, nat = 20, ntyp = 2
/
ATOMIC_SPECIES
Hf 178.49 Hf.upf
Co 58.93 Co.upf
CELL_PARAMETERS angstrom
-0.564 -4.598 -3.088
7.862 1.511 -3.687
-0.568 -4.856 7.334
ATOMIC_POSITIONS crystal
Hf 0.626 0.538 0.076
Hf 0.626 0.538 0.462
Hf 0.126 0.462 0.924
Hf 0.931 0.869 0.131
Hf 0.931 0.262 0.131
Hf 0.431 0.131 0.262
Hf 0.126 0.076 0.538
Hf 0.126 0.462 0.538
Hf 0.431 0.131 0.869
Hf 0.621 0.333 0.667
Hf 0.121 0.667 0.333
Hf 0.431 0.738 0.869
Hf 0.626 0.924 0.462
Hf 0.931 0.869 0.738
Co 0.872 0.621 0.810
Co 0.872 0.190 0.379
Co 0.372 0.379 0.190
Co 0.372 0.810 0.621
Co 0.872 0.190 0.810
Co 0.372 0.810 0.190
! DOS at the Fermi energy, states/eV/f.u.: 9.868
! Formation enthalpy at 0 K, eV/atom: -0.28
! Space group: No. 186
! Total moment, μB/cell: 0.0

---

! PmY3Tm2S6 | the Alexandria database | PBE | optimized geometry; values from VASP
&SYSTEM
  ibrav = 0, nat = 12, ntyp = 4
/
ATOMIC_SPECIES
Y 88.91 Y.upf
S 32.06 S.upf
Tm 168.93 Tm.upf
Pm 145.00 Pm.upf
CELL_PARAMETERS angstrom
6.787 -0.012 -0.001
-3.403 5.873 -0.001
-1.130 -1.957 6.383
ATOMIC_POSITIONS crystal
Y 0.500 0.500 0.500
Y 0.161 0.839 0.500
Y 0.839 0.161 0.500
S 0.262 0.262 0.754
S 0.917 0.572 0.750
S 0.428 0.083 0.250
S 0.738 0.738 0.246
S 0.083 0.428 0.250
S 0.572 0.917 0.750
Tm 0.666 0.334 0.000
Tm 0.334 0.666 0.000
Pm 0.000 0.000 0.000
! DOS at the Fermi energy, states/eV/f.u.: 4.808
! Space group: No. 12
! Raw formation energy, meV/atom: -1981.8
! Total moment, μB/cell: 0.0